# 1
Sm3SnSb PBE optimized geometry; total magnetic moment = 0.000 μB per cell; uncorrected formation energy = -367 kJ/mol of formula units
1.0
-0.626 -8.234 3.354
2.969 -3.952 6.430
-2.905 -2.274 8.118
Sm Sn Sb
6 2 2
Direct
0.785 0.339 0.922
0.931 0.827 0.778
0.383 0.266 0.601
0.215 0.661 0.078
0.069 0.173 0.222
0.617 0.734 0.399
0.461 0.302 0.883
0.539 0.698 0.117
0.859 0.847 0.446
0.141 0.153 0.554

=====

# 2
AgPd3S2 PBE optimized geometry; total magnetic moment = 0.000 μB per cell; uncorrected formation energy = -63 kJ/mol of formula units
1.0
-1.200 0.802 -4.298
3.037 -6.844 0.266
-7.163 1.616 2.301
Ag Pd S
2 6 4
Direct
0.878 0.755 0.917
0.122 0.245 0.083
0.304 0.607 0.647
0.952 0.903 0.632
0.631 0.261 0.638
0.369 0.739 0.362
0.048 0.097 0.368
0.696 0.393 0.353
0.499 0.997 0.768
0.501 0.003 0.232
0.814 0.628 0.232
0.186 0.372 0.768

=====

# 3
TaB3Mo PBE optimized geometry; relative energy among the computed polymorphs = 108 meV per atom; total magnetic moment = 0.000 μB per cell; energy of formation from the pure elements = -0.51 eV per atom
1.0
-2.748 -0.699 -1.258
0.852 -3.177 -0.095
-4.144 0.328 8.865
Ta B Mo
2 6 2
Direct
0.250 0.798 0.597
0.750 0.202 0.403
0.250 0.386 0.771
0.750 0.614 0.229
0.250 0.478 0.956
0.750 0.522 0.044
0.750 0.334 0.669
0.250 0.666 0.331
0.250 0.070 0.140
0.750 0.930 0.860

=====

# 4
Pm8Y6Pb PBE optimized geometry; total magnetic moment = 0.005 μB per cell; energy of formation from the pure elements = 0.06 eV per atom
1.0
6.601 0.000 0.000
0.000 8.118 -4.687
0.000 0.000 9.374
Pm Y Pb
8 6 1
Direct
0.824 0.041 0.272
0.824 0.728 0.769
0.824 0.231 0.959
0.176 0.959 0.728
0.176 0.272 0.231
0.176 0.769 0.041
0.849 0.333 0.667
0.151 0.667 0.333
0.664 0.651 0.097
0.664 0.903 0.554
0.664 0.446 0.349
0.336 0.349 0.903
0.336 0.097 0.446
0.336 0.554 0.651
0.500 0.000 0.000

=====

# 5
CePaVTc PBE optimized geometry; total magnetic moment = 1.921 μB per cell; energy of formation from the pure elements = 0.18 eV per atom
1.0
-3.105 -0.903 3.674
-2.636 -4.124 0.018
1.001 -3.530 3.239
Pa Tc Ce V
1 1 1 1
Direct
0.500 0.500 0.500
0.250 0.250 0.250
0.000 0.000 0.000
0.750 0.750 0.750

=====

# 6
Cr2CdICl PBE optimized geometry; total magnetic moment = 9.679 μB per cell; uncorrected formation energy = 453 kJ/mol of formula units
1.0
-3.760 -2.890 -2.752
-1.480 -2.547 4.697
-3.712 3.920 0.956
I Cr Cl Cd
1 2 1 1
Direct
0.000 0.500 0.000
0.000 0.000 0.500
0.500 0.000 0.000
0.500 0.500 0.500
0.000 0.000 0.000

=====

# 7
LiAu2Br PBE optimized geometry; relative energy among the computed polymorphs = 13 meV per atom; total magnetic moment = 0.000 μB per cell; uncorrected formation energy = -174 kJ/mol of formula units
1.0
3.677 0.000 0.000
0.000 3.730 0.100
0.000 1.300 6.644
Au Br Li
2 1 1
Direct
0.000 0.020 0.046
0.500 0.481 0.150
0.000 0.273 0.598
0.500 0.726 0.706

=====

# 8
Sc2CoH6Rh PBE optimized geometry; total magnetic moment = 0.001 μB per cell; VASP energy = -5.189 eV/atom
1.0
-2.121 4.046 -1.692
-2.941 0.117 3.882
4.831 -0.174 0.588
Sc Co H Rh
2 1 6 1
Direct
0.750 0.250 0.499
0.250 0.750 0.499
0.000 0.000 0.000
0.762 0.762 0.000
0.761 0.761 0.522
0.239 0.239 0.000
0.761 0.239 0.000
0.239 0.239 0.477
0.239 0.762 0.000
0.500 0.500 0.000

=====

Q: Which of these has the highest total magnetic moment?
A: Cr2CdICl

=====

Q: What is the formula in the third record?
A: TaB3Mo